# 1
Computed, not measured: Zr2GaGe after structural relaxation at the PBE level of DFT.

Values from the calculation:
SG	I-42d
formation energy from the elements	-8.79	kcal/mol of atoms

Lattice parameters (Å, degrees): 7.403 7.403 6.027 52.11 52.11 90.00
Fractional coordinates of all 8 atoms:
Ge 0.000 0.000 0.000
Ge 0.750 0.250 0.500
Ga 0.500 0.500 0.000
Ga 0.250 0.750 0.500
Zr 0.629 0.125 0.250
Zr 0.121 0.625 0.250
Zr 0.375 0.371 0.750
Zr 0.875 0.879 0.750

=====

# 2
Computed, not measured: ZrGa2Ge after structural relaxation at the PBE level of DFT.

Values from the calculation:
SG	P4/mmm
formation energy from the elements	-8.20	kcal/mol of atoms

Lattice parameters (Å, degrees): 4.412 4.028 4.028 90.00 90.00 90.00
Fractional coordinates of all 4 atoms:
Ge 0.500 0.000 0.000
Ga 0.000 0.000 0.500
Ga 0.000 0.500 0.000
Zr 0.500 0.500 0.500

=====

# 3
Computed, not measured: GaH after structural relaxation at the PBE level of DFT.

Values from the calculation:
SG	Ima2
distance to the lowest polymorph of the same formula	46	meV per atom

Lattice parameters (Å, degrees): 4.624 6.451 4.661 90.00 90.00 90.00
Fractional coordinates of all 8 atoms:
Ga 0.250 0.070 0.131
Ga 0.750 0.930 0.131
Ga 0.750 0.570 0.631
Ga 0.250 0.430 0.631
H 0.250 0.308 0.965
H 0.750 0.692 0.965
H 0.750 0.808 0.465
H 0.250 0.192 0.465

=====

# 4
Computed, not measured: Ga3H after structural relaxation at the PBE level of DFT.

Values from the calculation:
SG	Imm2
distance to the lowest polymorph of the same formula	11	meV per atom

Lattice parameters (Å, degrees): 3.104 5.082 4.846 121.63 108.68 90.00
Fractional coordinates of all 4 atoms:
H 0.000 0.918 0.000
Ga 0.317 0.733 0.634
Ga 0.500 0.416 0.000
Ga 0.683 0.099 0.366

=====

no.,E (Ry/atom)
1,-0.483
2,-0.379
3,-0.225
4,-0.213